Entry 1:
# Cs2RbSF | Alexandria via LeMat-Bulk | PBE-GGA | relaxed
data_Cs2RbSF
_chemical_formula_sum 'Cs2 Rb1 S1 F1'
_cell_length_a 5.704
_cell_length_b 5.704
_cell_length_c 5.444
_cell_angle_alpha 90.00
_cell_angle_beta 90.00
_cell_angle_gamma 90.00
_symmetry_space_group_name_H-M 'P 4/m m m'
_symmetry_Int_Tables_number 123
_symmetry_space_group_name_Hall '-P 4 2'
loop_
_atom_site_label
_atom_site_fract_x
_atom_site_fract_y
_atom_site_fract_z
_atom_site_occupancy
Cs1 0.000 0.500 0.000 1
Rb1 0.000 0.000 0.500 1
S1 0.500 0.500 0.500 1
F1 0.000 0.000 0.000 1
# E_form (uncorrected) (meV per atom): -1568
# Crystal system: tetragonal



Entry 2:
# Pm5Er2Rh4 | Alexandria via LeMat-Bulk | PBE-GGA | relaxed
data_Pm5Er2Rh4
_chemical_formula_sum 'Pm10 Er4 Rh8'
_cell_length_a 21.267
_cell_length_b 4.000
_cell_length_c 7.748
_cell_angle_alpha 90.00
_cell_angle_beta 99.89
_cell_angle_gamma 90.00
_symmetry_space_group_name_H-M 'C 1 2/m 1'
_symmetry_Int_Tables_number 12
loop_
_symmetry_equiv_pos_as_xyz
'x,y,z'
'-x,-y,-z'
'-x,y,-z'
'x,-y,z'
'x+1/2,y+1/2,z'
'-x+1/2,-y+1/2,-z'
'-x+1/2,y+1/2,-z'
'x+1/2,-y+1/2,z'
loop_
_atom_site_label
_atom_site_fract_x
_atom_site_fract_y
_atom_site_fract_z
_atom_site_occupancy
Pm1 0.000 0.000 0.000 1
Pm2 0.088 0.500 0.442 1
Pm3 0.158 0.500 0.971 1
Er1 0.223 0.000 0.652 1
Rh1 0.030 0.500 0.768 1
Rh2 0.109 0.000 0.725 1
# ΔH_f (0 K) (eV per atom): -0.29
# Crystal system: monoclinic



Entry 3:
# NaHf3Be | Alexandria via LeMat-Bulk | PBE-GGA | relaxed
data_NaHf3Be
_chemical_formula_sum 'Na1 Hf3 Be1'
_cell_length_a 4.804
_cell_length_b 4.804
_cell_length_c 4.804
_cell_angle_alpha 90.00
_cell_angle_beta 90.00
_cell_angle_gamma 90.00
_symmetry_space_group_name_H-M 'P m -3 m'
_symmetry_Int_Tables_number 221
_symmetry_space_group_name_Hall '-P 4 2 3'
loop_
_atom_site_label
_atom_site_fract_x
_atom_site_fract_y
_atom_site_fract_z
_atom_site_occupancy
Na1 0.000 0.000 0.000 1
Hf1 0.000 0.500 0.500 1
Be1 0.500 0.500 0.500 1
# ΔH_f (0 K) (eV per atom): 0.68
# Crystal system: cubic



Entry 4:
# LaZr2Cr2 | Alexandria via LeMat-Bulk | PBE-GGA | relaxed
data_LaZr2Cr2
_chemical_formula_sum 'La2 Zr4 Cr4'
_cell_length_a 8.155
_cell_length_b 8.155
_cell_length_c 3.278
_cell_angle_alpha 90.00
_cell_angle_beta 90.00
_cell_angle_gamma 90.00
_symmetry_space_group_name_H-M 'P 4/m b m'
_symmetry_Int_Tables_number 127
_symmetry_space_group_name_Hall '-P 4 2ab'
loop_
_atom_site_label
_atom_site_fract_x
_atom_site_fract_y
_atom_site_fract_z
_atom_site_occupancy
La1 0.000 0.000 0.000 1
Zr1 0.146 0.354 0.500 1
Cr1 0.137 0.637 0.000 1
# ΔH_f (0 K) (eV per atom): 0.37
# Crystal system: tetragonal



Entry 5:
# NaTbAlHg | Alexandria via LeMat-Bulk | PBE-GGA | relaxed
data_NaTbAlHg
_chemical_formula_sum 'Na4 Tb4 Al4 Hg4'
_cell_length_a 7.267
_cell_length_b 7.267
_cell_length_c 7.267
_cell_angle_alpha 90.00
_cell_angle_beta 90.00
_cell_angle_gamma 90.00
_symmetry_space_group_name_H-M 'F -4 3 m'
_symmetry_Int_Tables_number 216
_symmetry_space_group_name_Hall 'F -4 2 3'
loop_
_atom_site_label
_atom_site_fract_x
_atom_site_fract_y
_atom_site_fract_z
_atom_site_occupancy
Na1 0.000 0.000 0.000 1
Tb1 0.000 0.000 0.500 1
Al1 0.250 0.250 0.750 1
Hg1 0.250 0.250 0.250 1
# ΔH_f (0 K) (eV per atom): -0.19
# Crystal system: cubic



Entry 6:
# Rh2AuCl | Alexandria via LeMat-Bulk | PBE-GGA | relaxed
data_Rh2AuCl
_chemical_formula_sum 'Rh2 Au1 Cl1'
_cell_length_a 2.836
_cell_length_b 4.559
_cell_length_c 5.103
_cell_angle_alpha 90.00
_cell_angle_beta 90.00
_cell_angle_gamma 90.00
_symmetry_space_group_name_H-M 'P m m m'
_symmetry_Int_Tables_number 47
loop_
_symmetry_equiv_pos_as_xyz
'x,y,z'
'-x,-y,-z'
'-x,-y,z'
'x,y,-z'
'x,-y,-z'
'-x,y,z'
'-x,y,-z'
'x,-y,z'
loop_
_atom_site_label
_atom_site_fract_x
_atom_site_fract_y
_atom_site_fract_z
_atom_site_occupancy
Rh1 0.000 0.000 0.000 1
Rh2 0.500 0.000 0.500 1
Au1 0.000 0.500 0.500 1
Cl1 0.500 0.500 0.000 1
# E_form (uncorrected) (meV per atom): 586
# Crystal system: orthorhombic



In the order shown, the computed electronic total energy values come out to -3.302, -5.949, -6.303, -7.882, -2.684, -4.371 eV/atom.